Crystalline Zr2BeIn at its relaxed geometry. Source: OQMD, functional PBE.

The value obtained for the total energy is -0.2014 Ha/atom.

The space group is F-43m (No. 216) and the conventional cell measures 6.8637, 6.8637 and 6.8637 Å, with angles of 90.00, 90.00 and 90.00 degrees. The inequivalent atoms are Zr at (0.0000, 0.0000, 0.0000), Zr at (0.2500, 0.2500, 0.2500), Be at (0.2500, 0.2500, 0.7500) and In at (0.0000, 0.0000, 0.5000).